Record 1
The following is a DFT calculation (PBE) of Pm4IrSeI2 after structural relaxation.

```
data_Pm4IrSeI2
_chemical_formula_sum 'Pm4 Ir1 Se1 I2'
_cell_length_a 7.682
_cell_length_b 4.170
_cell_length_c 8.167
_cell_angle_alpha 90.00
_cell_angle_beta 107.07
_cell_angle_gamma 90.00
_symmetry_space_group_name_H-M 'P 1'
_symmetry_Int_Tables_number 1
_symmetry_space_group_name_Hall 'P 1'
loop_
_atom_site_label
_atom_site_type_symbol
_atom_site_fract_x
_atom_site_fract_y
_atom_site_fract_z
Pm1 Pm 0.204 0.000 0.188
Pm2 Pm 0.254 0.500 0.808
Pm3 Pm 0.746 0.500 0.192
Pm4 Pm 0.796 0.000 0.812
Ir1 Ir 0.000 0.500 0.000
Se1 Se 0.500 0.000 0.000
I1 I 0.000 0.000 0.500
I2 I 0.500 0.500 0.500
```

Values from the calculation:
- DOS at the Fermi energy: 0.68 states/eV per atom
- Symmetry: P2/m, No. 10
- Crystal system: monoclinic
- Calculated density: 7.34 g/cm³
- Formation energy (no corrections): -1154 meV per atom
- Total magnetic moment: 0.000 μB/atom

=====

Record 2
The following is a DFT calculation (PBE) of Pm4IrSe2I after structural relaxation.

```
data_Pm4IrSe2I
_chemical_formula_sum 'Pm4 Ir1 Se2 I1'
_cell_length_a 7.452
_cell_length_b 4.152
_cell_length_c 7.640
_cell_angle_alpha 90.00
_cell_angle_beta 108.01
_cell_angle_gamma 90.00
_symmetry_space_group_name_H-M 'P 1'
_symmetry_Int_Tables_number 1
_symmetry_space_group_name_Hall 'P 1'
loop_
_atom_site_label
_atom_site_type_symbol
_atom_site_fract_x
_atom_site_fract_y
_atom_site_fract_z
Pm1 Pm 0.228 0.000 0.212
Pm2 Pm 0.268 0.500 0.783
Pm3 Pm 0.732 0.500 0.217
Pm4 Pm 0.772 0.000 0.788
Ir1 Ir 0.000 0.500 0.000
Se1 Se 0.500 0.000 0.000
Se2 Se 0.500 0.500 0.500
I1 I 0.000 0.000 0.500
```

Values from the calculation:
- DOS at the Fermi energy: 0.74 states/eV per atom
- Symmetry: P2/m, No. 10
- Crystal system: monoclinic
- Calculated density: 7.81 g/cm³
- Formation energy (no corrections): -1278 meV per atom
- Total magnetic moment: 0.000 μB/atom

=====

Record 3
The following is a DFT calculation (PBE) of Pm8Si3IrI4 after structural relaxation.

```
data_Pm8Si3IrI4
_chemical_formula_sum 'Pm8 Si3 Ir1 I4'
_cell_length_a 9.150
_cell_length_b 9.150
_cell_length_c 9.150
_cell_angle_alpha 56.12
_cell_angle_beta 56.12
_cell_angle_gamma 56.12
_symmetry_space_group_name_H-M 'P 1'
_symmetry_Int_Tables_number 1
_symmetry_space_group_name_Hall 'P 1'
loop_
_atom_site_label
_atom_site_type_symbol
_atom_site_fract_x
_atom_site_fract_y
_atom_site_fract_z
Pm1 Pm 0.233 0.233 0.233
Pm2 Pm 0.240 0.726 0.726
Pm3 Pm 0.274 0.274 0.760
Pm4 Pm 0.274 0.760 0.274
Pm5 Pm 0.726 0.240 0.726
Pm6 Pm 0.726 0.726 0.240
Pm7 Pm 0.760 0.274 0.274
Pm8 Pm 0.767 0.767 0.767
Si1 Si 0.000 0.000 0.500
Si2 Si 0.000 0.500 0.000
Si3 Si 0.500 0.000 0.000
Ir1 Ir 0.500 0.500 0.500
I1 I 0.000 0.000 0.000
I2 I 0.000 0.500 0.500
I3 I 0.500 0.000 0.500
I4 I 0.500 0.500 0.000
```

Values from the calculation:
- DOS at the Fermi energy: 0.73 states/eV per atom
- Symmetry: R-3m, No. 166
- Crystal system: trigonal
- Calculated density: 6.55 g/cm³
- Formation energy (no corrections): -915 meV per atom
- Total magnetic moment: 0.000 μB/atom

=====

Record 4
The following is a DFT calculation (PBE) of Pm8SnIr3I4 after structural relaxation.

```
data_Pm8SnIr3I4
_chemical_formula_sum 'Pm8 Sn1 Ir3 I4'
_cell_length_a 9.409
_cell_length_b 9.409
_cell_length_c 9.409
_cell_angle_alpha 54.32
_cell_angle_beta 54.32
_cell_angle_gamma 54.32
_symmetry_space_group_name_H-M 'P 1'
_symmetry_Int_Tables_number 1
_symmetry_space_group_name_Hall 'P 1'
loop_
_atom_site_label
_atom_site_type_symbol
_atom_site_fract_x
_atom_site_fract_y
_atom_site_fract_z
Pm1 Pm 0.205 0.742 0.742
Pm2 Pm 0.229 0.229 0.229
Pm3 Pm 0.258 0.258 0.795
Pm4 Pm 0.258 0.795 0.258
Pm5 Pm 0.742 0.205 0.742
Pm6 Pm 0.742 0.742 0.205
Pm7 Pm 0.771 0.771 0.771
Pm8 Pm 0.795 0.258 0.258
Sn1 Sn 0.500 0.500 0.500
Ir1 Ir 0.000 0.000 0.500
Ir2 Ir 0.000 0.500 0.000
Ir3 Ir 0.500 0.000 0.000
I1 I 0.000 0.000 0.000
I2 I 0.000 0.500 0.500
I3 I 0.500 0.000 0.500
I4 I 0.500 0.500 0.000
```

Values from the calculation:
- DOS at the Fermi energy: 0.68 states/eV per atom
- Symmetry: R-3m, No. 166
- Crystal system: trigonal
- Calculated density: 7.68 g/cm³
- Formation energy (no corrections): -903 meV per atom
- Total magnetic moment: 0.000 μB/atom